(1)
This record from Alexandria describes a relaxed structure of Ba2CdRu. The functional is PBE.

Lattice parameters (Å, degrees): 13.0247 3.8286 5.6328 90.00 115.56 90.00
Space group Cm (No. 8)
Symmetry-distinct sites (fractional):
Ba 0.0000 0.0000 0.0000
Ba 0.1920 0.0000 0.6917
Cd 0.3886 0.0000 0.3887
Ru 0.2196 0.5000 0.2189

Properties
Its energy of formation is 250 meV/atom. As for the crystal system: monoclinic. The electronic total energy comes out at -3.259 eV/atom. Its total magnetic moment is 0.000 μB/atom.

(2)
This record from Alexandria describes a relaxed structure of AsPt2Rh. The functional is PBE.

Lattice parameters (Å, degrees): 3.9018 3.9018 4.0769 90.00 90.00 90.00
Space group P4/mmm (No. 123)
Symmetry-distinct sites (fractional):
As 0.0000 0.0000 0.0000
Pt 0.0000 0.5000 0.5000
Rh 0.5000 0.5000 0.0000

Properties
Its energy of formation is -47 meV/atom. As for the crystal system: tetragonal. The electronic total energy comes out at -6.068 eV/atom. Its total magnetic moment is 0.000 μB/atom.